1.
Density functional theory data (PBE) for crystalline Ca3Ru at its relaxed geometry.

Values from the calculation:
E_tot = -28.32 eV/cell
energy relative to the elements = 280 meV/atom

Geometry as CIF:
```
data_Ca3Ru
_chemical_formula_sum 'Ca6 Ru2'
_symmetry_space_group_name_H-M 'I 4/m m m'
_symmetry_Int_Tables_number 139
_symmetry_space_group_name_Hall '-I 4 2'
_cell_length_a 5.253
_cell_length_b 5.253
_cell_length_c 7.555
_cell_angle_alpha 90.00
_cell_angle_beta 90.00
_cell_angle_gamma 90.00
loop_
_atom_site_label
_atom_site_fract_x
_atom_site_fract_y
_atom_site_fract_z
_atom_site_occupancy
Ca1 0.000 0.000 0.000 1
Ca2 0.000 0.500 0.250 1
Ru1 0.000 0.000 0.500 1
```


2.
Density functional theory data (PBE) for crystalline Ca6Ru at its relaxed geometry.

Values from the calculation:
E_tot = -84.27 eV/cell
energy relative to the elements = 31 meV/atom

Geometry as CIF:
```
data_Ca6Ru
_chemical_formula_sum 'Ca24 Ru4'
_symmetry_space_group_name_H-M 'P n m a'
_symmetry_Int_Tables_number 62
_cell_length_a 12.845
_cell_length_b 11.841
_cell_length_c 6.815
_cell_angle_alpha 90.00
_cell_angle_beta 90.00
_cell_angle_gamma 90.00
loop_
_symmetry_equiv_pos_as_xyz
'x,y,z'
'-x,-y,-z'
'-x+1/2,-y,z+1/2'
'x+1/2,y,-z+1/2'
'x+1/2,-y+1/2,-z+1/2'
'-x+1/2,y+1/2,z+1/2'
'-x,y+1/2,-z'
'x,-y+1/2,z'
loop_
_atom_site_label
_atom_site_fract_x
_atom_site_fract_y
_atom_site_fract_z
_atom_site_occupancy
Ca1 0.005 0.085 0.243 1
Ca2 0.007 0.250 0.751 1
Ca3 0.247 0.750 0.911 1
Ca4 0.249 0.085 0.916 1
Ru1 0.128 0.250 0.082 1
```


3.
Density functional theory data (PBE) for crystalline CaRu at its relaxed geometry.

Values from the calculation:
E_tot = -84.79 eV/cell
energy relative to the elements = 339 meV/atom

Geometry as CIF:
```
data_CaRu
_chemical_formula_sum 'Ca8 Ru8'
_symmetry_space_group_name_H-M 'I 4/m m m'
_symmetry_Int_Tables_number 139
_symmetry_space_group_name_Hall '-I 4 2'
_cell_length_a 10.578
_cell_length_b 10.578
_cell_length_c 4.147
_cell_angle_alpha 90.00
_cell_angle_beta 90.00
_cell_angle_gamma 90.00
loop_
_atom_site_label
_atom_site_fract_x
_atom_site_fract_y
_atom_site_fract_z
_atom_site_occupancy
Ca1 0.000 0.274 0.000 1
Ru1 0.214 0.214 0.500 1
```


4.
Density functional theory data (PBE) for crystalline CaRu at its relaxed geometry.

Values from the calculation:
E_tot = -38.45 eV/cell
energy relative to the elements = 832 meV/atom

Geometry as CIF:
```
data_CaRu
_chemical_formula_sum 'Ca4 Ru4'
_symmetry_space_group_name_H-M 'P 42/m n m'
_symmetry_Int_Tables_number 136
_symmetry_space_group_name_Hall '-P 4n 2n'
_cell_length_a 5.955
_cell_length_b 5.955
_cell_length_c 5.759
_cell_angle_alpha 90.00
_cell_angle_beta 90.00
_cell_angle_gamma 90.00
loop_
_atom_site_label
_atom_site_fract_x
_atom_site_fract_y
_atom_site_fract_z
_atom_site_occupancy
Ca1 0.191 0.191 0.000 1
Ru1 0.143 0.143 0.500 1
```


5.
Density functional theory data (PBE) for crystalline Ca3Ru at its relaxed geometry.

Values from the calculation:
E_tot = -29.09 eV/cell
energy relative to the elements = 183 meV/atom

Geometry as CIF:
```
data_Ca3Ru
_chemical_formula_sum 'Ca6 Ru2'
_symmetry_space_group_name_H-M 'I m m 2'
_symmetry_Int_Tables_number 44
_cell_length_a 3.786
_cell_length_b 9.876
_cell_length_c 6.524
_cell_angle_alpha 90.00
_cell_angle_beta 90.00
_cell_angle_gamma 90.00
loop_
_symmetry_equiv_pos_as_xyz
'x,y,z'
'-x,-y,z'
'-x,y,z'
'x,-y,z'
'x+1/2,y+1/2,z+1/2'
'-x+1/2,-y+1/2,z+1/2'
'-x+1/2,y+1/2,z+1/2'
'x+1/2,-y+1/2,z+1/2'
loop_
_atom_site_label
_atom_site_fract_x
_atom_site_fract_y
_atom_site_fract_z
_atom_site_occupancy
Ca1 0.000 0.000 0.000 1
Ca2 0.000 0.184 0.496 1
Ru1 0.000 0.500 0.187 1
```


6.
Density functional theory data (PBE) for crystalline CaRu at its relaxed geometry.

Values from the calculation:
E_tot = -36.12 eV/cell
energy relative to the elements = 1124 meV/atom

Geometry as CIF:
```
data_CaRu
_chemical_formula_sum 'Ca4 Ru4'
_symmetry_space_group_name_H-M 'F m -3 m'
_symmetry_Int_Tables_number 225
_symmetry_space_group_name_Hall '-F 4 2 3'
_cell_length_a 5.729
_cell_length_b 5.729
_cell_length_c 5.729
_cell_angle_alpha 90.00
_cell_angle_beta 90.00
_cell_angle_gamma 90.00
loop_
_atom_site_label
_atom_site_fract_x
_atom_site_fract_y
_atom_site_fract_z
_atom_site_occupancy
Ca1 0.000 0.000 0.000 1
Ru1 0.000 0.000 0.500 1
```


What is the energy relative to the elements in the fourth record?
832 meV/atom


Copy entry 2 word for word.
Density functional theory data (PBE) for crystalline Ca6Ru at its relaxed geometry.

Values from the calculation:
E_tot = -84.27 eV/cell
energy relative to the elements = 31 meV/atom

Geometry as CIF:
```
data_Ca6Ru
_chemical_formula_sum 'Ca24 Ru4'
_symmetry_space_group_name_H-M 'P n m a'
_symmetry_Int_Tables_number 62
_cell_length_a 12.845
_cell_length_b 11.841
_cell_length_c 6.815
_cell_angle_alpha 90.00
_cell_angle_beta 90.00
_cell_angle_gamma 90.00
loop_
_symmetry_equiv_pos_as_xyz
'x,y,z'
'-x,-y,-z'
'-x+1/2,-y,z+1/2'
'x+1/2,y,-z+1/2'
'x+1/2,-y+1/2,-z+1/2'
'-x+1/2,y+1/2,z+1/2'
'-x,y+1/2,-z'
'x,-y+1/2,z'
loop_
_atom_site_label
_atom_site_fract_x
_atom_site_fract_y
_atom_site_fract_z
_atom_site_occupancy
Ca1 0.005 0.085 0.243 1
Ca2 0.007 0.250 0.751 1
Ca3 0.247 0.750 0.911 1
Ca4 0.249 0.085 0.916 1
Ru1 0.128 0.250 0.082 1
```


Look up the energy relative to the elements of the fourth one.
832 meV/atom


Among the records above, which one has the lowest energy relative to the elements?
Ca6Ru